## ScNb2B (PBE-GGA)

Data for a relaxed ScNb2B crystal.

CIF file:
```
data_ScNb2B
_cell_length_a 7.3621
_cell_length_b 7.3621
_cell_length_c 4.9129
_cell_angle_alpha 90.00
_cell_angle_beta 90.00
_cell_angle_gamma 90.00
_space_group_name_H-M_alt 'I -4 2 d'
_space_group_IT_number 122
_space_group_name_Hall 'I -4 2bw'
loop_
_atom_site_label
_atom_site_type_symbol
_atom_site_fract_x
_atom_site_fract_y
_atom_site_fract_z
Sc1 Sc 0.0000 0.0000 0.0000
Nb1 Nb 0.1817 0.7500 0.6250
B1 B 0.0000 0.0000 0.5000
```

Computed properties:
Calculated volume   266 Å³ per cell
Formation energy from the elements   166.6 meV per atom